# 1
Below is a relaxed structure of Ba7Sr4Ca, with properties calculated at the PBE level.

Unit cell a=11.951 b=6.923 c=16.925 alpha=90.00 beta=90.28 gamma=90.00
Space group C2/m (No. 12)
Symmetry-distinct sites (fractional):
Ba 0.000 0.000 0.000 (multiplicity 2)
Ba 0.001 0.000 0.256 (multiplicity 4)
Ba 0.166 0.500 0.579 (multiplicity 4)
Ba 0.166 0.500 0.834 (multiplicity 4)
Sr 0.167 0.500 0.085 (multiplicity 4)
Sr 0.167 0.500 0.331 (multiplicity 4)
Ca 0.000 0.000 0.500 (multiplicity 2)

**Calculated total energy**: -1.84 eV per atom
**Total magnetization**: 0.00 μB per atom
**Energy relative to the elements**: 0.012 eV/atom
**DOS(E_F)**: 33.9 states/eV/cell

---

# 2
Below is a relaxed structure of RbCrRh2, with properties calculated at the PBE level.

Unit cell a=5.290 b=5.290 c=15.330 alpha=90.00 beta=90.00 gamma=90.00
Space group I-42d (No. 122)
Symmetry-distinct sites (fractional):
Rb 0.000 0.000 0.000 (multiplicity 4)
Cr 0.000 0.000 0.500 (multiplicity 4)
Rh 0.062 0.250 0.625 (multiplicity 8)

**Calculated total energy**: -5.41 eV per atom
**Total magnetization**: 0.68 μB per atom
**Energy relative to the elements**: 0.912 eV/atom
**DOS(E_F)**: 12.9 states/eV/cell

---

# 3
Below is a relaxed structure of U3AsN3, with properties calculated at the PBE level.

Unit cell a=6.6096 b=6.6096 c=20.5204 alpha=90.00 beta=90.00 gamma=120.00
Space group R-3 (No. 148, hexagonal axes)
Symmetry-distinct sites (fractional):
U 0.0016 0.6570 0.4020 (multiplicity 18)
As 0.0000 0.0000 0.1665 (multiplicity 6)
N 0.0032 0.6736 0.6237 (multiplicity 18)

**Calculated total energy**: -10.27 eV per atom
**Total magnetization**: 0.86 μB per atom
**DOS(E_F)**: 64.6 states/eV/cell
**Raw formation energy**: -1.1985 eV/atom

---

# 4
Below is a relaxed structure of MnIrSe, with properties calculated at the PBE level.

Unit cell a=3.109 b=3.779 c=7.969 alpha=90.00 beta=90.00 gamma=90.00
Space group Imm2 (No. 44)
Symmetry-distinct sites (fractional):
Mn 0.000 0.000 0.000 (multiplicity 2)
Ir 0.000 0.000 0.350 (multiplicity 2)
Se 0.000 0.000 0.675 (multiplicity 2)

**Calculated total energy**: -6.93 eV per atom
**Total magnetization**: 1.30 μB per atom
**DOS(E_F)**: 3.7 states/eV/cell
**Raw formation energy**: 0.2426 eV/atom

---

Question: Which value of calculated total energy does entry 4 give?
Answer: -6.93 eV per atom

---

Question: Which formula does entry 4 have?
Answer: MnIrSe

---

Question: Which formula does entry 3 have?
Answer: U3AsN3